a:
Here is NiB3W after structural relaxation from Alexandria via LeMat-Bulk. Energies are from PBE-GGA.

abc: 3.701 3.701 3.701
angles: 90.00 90.00 90.00
Fractional positions:
Ni  0.000  0.000  0.000
B  0.000  0.000  0.500
B  0.000  0.500  0.000
B  0.500  0.000  0.000
W  0.500  0.500  0.500

* SG: Pm-3m (221)
* calculated volume: 10.14 Å³/atom
* total magnetization: 0.00 μB per formula unit

b:
Here is NiB3W after structural relaxation from Alexandria via LeMat-Bulk. Energies are from PBE-GGA.

abc: 4.125 4.125 4.125
angles: 90.00 90.00 90.00
Fractional positions:
Ni  0.000  0.000  0.000
B  0.000  0.500  0.500
B  0.500  0.000  0.500
B  0.500  0.500  0.000
W  0.500  0.500  0.500

* SG: Pm-3m (221)
* calculated volume: 14.04 Å³/atom
* total magnetization: 1.17 μB per formula unit

What should be chosen as the most stable of them? Choose a.

a:
Here is Ni2B2W after structural relaxation from Alexandria via LeMat-Bulk. Energies are from PBE-GGA.

abc: 3.591 3.591 7.665
angles: 90.00 90.00 90.00
Fractional positions:
Ni  0.000  0.000  0.146
Ni  0.000  0.000  0.854
Ni  0.500  0.500  0.354
Ni  0.500  0.500  0.646
B  0.000  0.500  0.250
B  0.000  0.500  0.750
B  0.500  0.000  0.250
B  0.500  0.000  0.750
W  0.000  0.000  0.500
W  0.500  0.500  0.000

* SG: I4/mmm (139)
* calculated volume: 9.89 Å³/atom
* total magnetization: 0.00 μB per formula unit

b:
Here is Ni2B2W after structural relaxation from Alexandria via LeMat-Bulk. Energies are from PBE-GGA.

abc: 3.667 3.131 8.452
angles: 90.00 96.51 90.00
Fractional positions:
Ni  0.134  0.250  0.109
Ni  0.249  0.750  0.496
Ni  0.751  0.250  0.504
Ni  0.866  0.750  0.891
B  0.206  0.250  0.344
B  0.386  0.750  0.982
B  0.614  0.250  0.018
B  0.794  0.750  0.656
W  0.334  0.250  0.757
W  0.666  0.750  0.243

* SG: P2_1/m (11)
* calculated volume: 9.64 Å³/atom
* total magnetization: 0.00 μB per formula unit

What should be chosen as the most stable of them? Choose b.

a:
Here is YNi3B3 after structural relaxation from Alexandria via LeMat-Bulk. Energies are from PBE-GGA.

abc: 5.528 5.528 5.528
angles: 90.00 90.00 90.00
Fractional positions:
Y  0.000  0.000  0.000
Y  0.500  0.500  0.500
Ni  0.000  0.250  0.500
Ni  0.000  0.750  0.500
Ni  0.250  0.500  0.000
Ni  0.500  0.000  0.250
Ni  0.500  0.000  0.750
Ni  0.750  0.500  0.000
B  0.000  0.500  0.250
B  0.000  0.500  0.750
B  0.250  0.000  0.500
B  0.500  0.250  0.000
B  0.500  0.750  0.000
B  0.750  0.000  0.500

* SG: Pm-3n (223)
* calculated volume: 12.06 Å³/atom
* total magnetization: 0.00 μB per formula unit

b:
Here is YNi3B3 after structural relaxation from Alexandria via LeMat-Bulk. Energies are from PBE-GGA.

abc: 7.667 7.667 3.179
angles: 90.00 90.00 120.00
Fractional positions:
Y  0.333  0.667  0.250
Y  0.667  0.333  0.750
Ni  0.080  0.332  0.750
Ni  0.252  0.920  0.750
Ni  0.332  0.252  0.250
Ni  0.668  0.748  0.750
Ni  0.748  0.080  0.250
Ni  0.920  0.668  0.250
B  0.039  0.593  0.750
B  0.407  0.446  0.750
B  0.446  0.039  0.250
B  0.554  0.961  0.750
B  0.593  0.554  0.250
B  0.961  0.407  0.250

* SG: P6_3/m (176)
* calculated volume: 11.56 Å³/atom
* total magnetization: 0.00 μB per formula unit

What should be chosen as the most stable of them? Choose b.

a:
Here is YNi4B2 after structural relaxation from Alexandria via LeMat-Bulk. Energies are from PBE-GGA.

abc: 8.659 5.006 4.361
angles: 90.00 120.19 90.00
Fractional positions:
Y  0.000  0.000  0.000
Y  0.500  0.500  0.000
Ni  0.165  0.256  0.665
Ni  0.165  0.744  0.665
Ni  0.335  0.244  0.335
Ni  0.335  0.756  0.335
Ni  0.665  0.244  0.665
Ni  0.665  0.756  0.665
Ni  0.835  0.256  0.335
Ni  0.835  0.744  0.335
B  0.001  0.500  0.216
B  0.499  0.000  0.784
B  0.501  0.000  0.216
B  0.999  0.500  0.784

* SG: C2/m (12)
* calculated volume: 11.67 Å³/atom
* total magnetization: 0.00 μB per formula unit

b:
Here is YNi4B2 after structural relaxation from Alexandria via LeMat-Bulk. Energies are from PBE-GGA.

abc: 6.883 6.883 3.309
angles: 90.00 90.00 90.00
Fractional positions:
Y  0.000  0.000  0.000
Y  0.500  0.500  0.500
Ni  0.085  0.331  0.500
Ni  0.169  0.585  0.000
Ni  0.331  0.085  0.500
Ni  0.415  0.831  0.000
Ni  0.585  0.169  0.000
Ni  0.669  0.915  0.500
Ni  0.831  0.415  0.000
Ni  0.915  0.669  0.500
B  0.226  0.774  0.500
B  0.274  0.274  0.000
B  0.726  0.726  0.000
B  0.774  0.226  0.500

* SG: P4_2/mnm (136)
* calculated volume: 11.20 Å³/atom
* total magnetization: 0.00 μB per formula unit

What should be chosen as the most stable of them? Choose b.